NiSeI2O | PBE+U | optimized geometry

a b c (Å): 5.7297 5.7297 3.5305
angles (deg): 90.00 90.00 90.00
Space group P4/mmm (No. 123)
Inequivalent atoms, fractional coordinates:
Ni 0.0000 0.0000 0.0000 [1 per cell]
Se 0.5000 0.5000 0.5000 [1 per cell]
I 0.0000 0.5000 0.0000 [2 per cell]
O 0.0000 0.0000 0.5000 [1 per cell]

Calculated values
Its crystal system is tetragonal. For the density of states at the Fermi level, the calculation gives 4.6 states/eV/f.u.

=====

NiSeI2O | PBE+U | optimized geometry

a b c (Å): 5.8469 5.8469 3.8077
angles (deg): 90.00 90.00 90.00
Space group P4/mmm (No. 123)
Inequivalent atoms, fractional coordinates:
Ni 0.0000 0.0000 0.0000 [1 per cell]
Se 0.5000 0.5000 0.5000 [1 per cell]
I 0.0000 0.5000 0.5000 [2 per cell]
O 0.5000 0.5000 0.0000 [1 per cell]

Calculated values
Its crystal system is tetragonal. For the density of states at the Fermi level, the calculation gives 0.5 states/eV/f.u.

=====

SiNiI2O | PBE+U | optimized geometry

a b c (Å): 5.5575 5.5575 3.6348
angles (deg): 90.00 90.00 90.00
Space group P4/mmm (No. 123)
Inequivalent atoms, fractional coordinates:
Si 0.0000 0.0000 0.0000 [1 per cell]
Ni 0.5000 0.5000 0.5000 [1 per cell]
I 0.0000 0.5000 0.5000 [2 per cell]
O 0.5000 0.5000 0.0000 [1 per cell]

Calculated values
Its crystal system is tetragonal. The calculation puts the energy above the lowest structure with this stoichiometry at 2.24 eV/f.u. For the density of states at the Fermi level, the calculation gives 2.5 states/eV/f.u.

=====

SiNiI2O | PBE+U | optimized geometry

a b c (Å): 5.5811 5.5811 3.5299
angles (deg): 90.00 90.00 90.00
Space group P4/mmm (No. 123)
Inequivalent atoms, fractional coordinates:
Si 0.0000 0.0000 0.0000 [1 per cell]
Ni 0.5000 0.5000 0.5000 [1 per cell]
I 0.0000 0.5000 0.0000 [2 per cell]
O 0.0000 0.0000 0.5000 [1 per cell]

Calculated values
Its crystal system is tetragonal. The calculation puts the energy above the lowest structure with this stoichiometry at 0.00 eV/f.u. For the density of states at the Fermi level, the calculation gives 1.3 states/eV/f.u.

=====

NiSnIO2 | PBE+U | optimized geometry

a b c (Å): 3.9548 3.9548 6.6458
angles (deg): 90.00 90.00 90.00
Space group P4/mmm (No. 123)
Inequivalent atoms, fractional coordinates:
Ni 0.0000 0.0000 0.0000 [1 per cell]
Sn 0.5000 0.5000 0.5000 [1 per cell]
I 0.5000 0.5000 0.0000 [1 per cell]
O 0.0000 0.5000 0.5000 [2 per cell]

Calculated values
Its crystal system is tetragonal. The calculation puts the energy above the lowest structure with this stoichiometry at 0.00 eV/f.u. For the density of states at the Fermi level, the calculation gives 0.7 states/eV/f.u.

=====

NiSnIO2 | PBE+U | optimized geometry

a b c (Å): 4.2340 4.2340 5.2647
angles (deg): 90.00 90.00 90.00
Space group P4/mmm (No. 123)
Inequivalent atoms, fractional coordinates:
Ni 0.0000 0.0000 0.0000 [1 per cell]
Sn 0.5000 0.5000 0.5000 [1 per cell]
I 0.0000 0.0000 0.5000 [1 per cell]
O 0.0000 0.5000 0.0000 [2 per cell]

Calculated values
Its crystal system is tetragonal. The calculation puts the energy above the lowest structure with this stoichiometry at 2.24 eV/f.u. For the density of states at the Fermi level, the calculation gives 1.4 states/eV/f.u.

=====

SrNiI2O | PBE+U | optimized geometry

a b c (Å): 5.8212 5.8212 3.8042
angles (deg): 90.00 90.00 90.00
Space group P4/mmm (No. 123)
Inequivalent atoms, fractional coordinates:
Sr 0.0000 0.0000 0.0000 [1 per cell]
Ni 0.5000 0.5000 0.5000 [1 per cell]
I 0.0000 0.5000 0.5000 [2 per cell]
O 0.5000 0.5000 0.0000 [1 per cell]

Calculated values
Its crystal system is tetragonal. The calculation puts the energy above the lowest structure with this stoichiometry at 0.00 eV/f.u. For the density of states at the Fermi level, the calculation gives 1.3 states/eV/f.u.

=====

SrNiIO6 | PBE+U | optimized geometry

a b c (Å): 5.2418 8.7713 5.4459
angles (deg): 90.00 91.31 90.00
Space group C2 (No. 5)
Inequivalent atoms, fractional coordinates:
Sr 0.0000 0.0000 0.0000 [2 per cell]
Ni 0.0000 0.6707 0.5000 [2 per cell]
I 0.0000 0.3346 0.5000 [2 per cell]
O 0.1194 0.5039 0.6977 [4 per cell]
O 0.1724 0.1994 0.7118 [4 per cell]
O 0.1957 0.8207 0.6896 [4 per cell]

Calculated values
Its crystal system is monoclinic.

=====

SrNiI2O | PBE+U | optimized geometry

a b c (Å): 6.4061 6.4061 4.5116
angles (deg): 90.00 90.00 90.00
Space group P4/mmm (No. 123)
Inequivalent atoms, fractional coordinates:
Sr 0.0000 0.0000 0.0000 [1 per cell]
Ni 0.5000 0.5000 0.5000 [1 per cell]
I 0.0000 0.5000 0.0000 [2 per cell]
O 0.0000 0.0000 0.5000 [1 per cell]

Calculated values
Its crystal system is tetragonal. The calculation puts the energy above the lowest structure with this stoichiometry at 2.35 eV/f.u. For the density of states at the Fermi level, the calculation gives 4.8 states/eV/f.u.

=====

TaNiI2O | PBE+U | optimized geometry

a b c (Å): 5.5822 5.5822 3.8561
angles (deg): 90.00 90.00 90.00
Space group P4/mmm (No. 123)
Inequivalent atoms, fractional coordinates:
Ta 0.0000 0.0000 0.0000 [1 per cell]
Ni 0.5000 0.5000 0.5000 [1 per cell]
I 0.0000 0.5000 0.0000 [2 per cell]
O 0.0000 0.0000 0.5000 [1 per cell]

Calculated values
Its crystal system is tetragonal. The calculation puts the energy above the lowest structure with this stoichiometry at 0.00 eV/f.u. For the density of states at the Fermi level, the calculation gives 7.0 states/eV/f.u.

=====

TaNiIO2 | PBE+U | optimized geometry

a b c (Å): 3.9828 3.9828 4.8720
angles (deg): 90.00 90.00 90.00
Space group P4/mmm (No. 123)
Inequivalent atoms, fractional coordinates:
Ta 0.0000 0.0000 0.0000 [1 per cell]
Ni 0.5000 0.5000 0.5000 [1 per cell]
I 0.5000 0.5000 0.0000 [1 per cell]
O 0.0000 0.5000 0.5000 [2 per cell]

Calculated values
Its crystal system is tetragonal. The calculation puts the energy above the lowest structure with this stoichiometry at 7.72 eV/f.u. For the density of states at the Fermi level, the calculation gives 3.9 states/eV/f.u.

=====

TaNiI2O | PBE+U | optimized geometry

a b c (Å): 5.4020 5.4020 3.5420
angles (deg): 90.00 90.00 90.00
Space group P4/mmm (No. 123)
Inequivalent atoms, fractional coordinates:
Ta 0.0000 0.0000 0.0000 [1 per cell]
Ni 0.5000 0.5000 0.5000 [1 per cell]
I 0.0000 0.5000 0.5000 [2 per cell]
O 0.5000 0.5000 0.0000 [1 per cell]

Calculated values
Its crystal system is tetragonal. The calculation puts the energy above the lowest structure with this stoichiometry at 2.77 eV/f.u. For the density of states at the Fermi level, the calculation gives 3.9 states/eV/f.u.

=====

TaNiIO2 | PBE+U | optimized geometry

a b c (Å): 3.8705 3.8705 6.1338
angles (deg): 90.00 90.00 90.00
Space group P4/mmm (No. 123)
Inequivalent atoms, fractional coordinates:
Ta 0.0000 0.0000 0.0000 [1 per cell]
Ni 0.5000 0.5000 0.5000 [1 per cell]
I 0.0000 0.0000 0.5000 [1 per cell]
O 0.0000 0.5000 0.0000 [2 per cell]

Calculated values
Its crystal system is tetragonal. The calculation puts the energy above the lowest structure with this stoichiometry at 0.00 eV/f.u. For the density of states at the Fermi level, the calculation gives 1.7 states/eV/f.u.

=====

TcNiIO2 | PBE+U | optimized geometry

a b c (Å): 3.8018 3.8018 6.0730
angles (deg): 90.00 90.00 90.00
Space group P4/mmm (No. 123)
Inequivalent atoms, fractional coordinates:
Tc 0.0000 0.0000 0.0000 [1 per cell]
Ni 0.5000 0.5000 0.5000 [1 per cell]
I 0.0000 0.0000 0.5000 [1 per cell]
O 0.0000 0.5000 0.0000 [2 per cell]

Calculated values
Its crystal system is tetragonal. The calculation puts the energy above the lowest structure with this stoichiometry at 0.00 eV/f.u. For the density of states at the Fermi level, the calculation gives 2.0 states/eV/f.u.

=====

TcNiIO2 | PBE+U | optimized geometry

a b c (Å): 3.9400 3.9400 5.6380
angles (deg): 90.00 90.00 90.00
Space group P4/mmm (No. 123)
Inequivalent atoms, fractional coordinates:
Tc 0.0000 0.0000 0.0000 [1 per cell]
Ni 0.5000 0.5000 0.5000 [1 per cell]
I 0.5000 0.5000 0.0000 [1 per cell]
O 0.0000 0.5000 0.5000 [2 per cell]

Calculated values
Its crystal system is tetragonal. The calculation puts the energy above the lowest structure with this stoichiometry at 5.51 eV/f.u. For the density of states at the Fermi level, the calculation gives 2.7 states/eV/f.u.

=====

| no. | total DFT energy (no corrections) (eV/atom) | calculated density (kg/m³) |
| --- | --- | --- |
| 1 | -2.491 | 5838 |
| 2 | -2.489 | 5198 |
| 3 | -2.871 | 5274 |
| 4 | -3.319 | 5385 |
| 5 | -3.975 | 5373 |
| 6 | -3.527 | 5917 |
| 7 | -3.210 | 5360 |
| 8 | -5.095 | 4898 |
| 9 | -2.739 | 3732 |
| 10 | -4.398 | 7040 |
| 11 | -4.565 | 8563 |
| 12 | -3.843 | 8185 |
| 13 | -6.108 | 7202 |
| 14 | -5.348 | 5970 |
| 15 | -4.246 | 5988 |